(1)
# KNaTcO4 PBE relaxed
# theoretical density: 2.32 Mg/m³
# energy relative to the elements, uncorrected: -1.62 eV per atom
# magnetization: 1.005 μB/f.u.
data_KNaTcO4
_chemical_formula_sum 'K2 Na2 Tc2 O8'
_space_group_name_H-M_alt 'I -4'
_space_group_IT_number 82
_cell_length_a 6.042
_cell_length_b 6.042
_cell_length_c 8.787
_cell_angle_alpha 90.00
_cell_angle_beta 90.00
_cell_angle_gamma 90.00
loop_
_space_group_symop_operation_xyz
'x,y,z'
'y,-x,-z'
'-x,-y,z'
'-y,x,-z'
'x+1/2,y+1/2,z+1/2'
'y+1/2,-x+1/2,-z+1/2'
'-x+1/2,-y+1/2,z+1/2'
'-y+1/2,x+1/2,-z+1/2'
loop_
_atom_site_label
_atom_site_fract_x
_atom_site_fract_y
_atom_site_fract_z
K1 0.000 0.000 0.000
Na1 0.000 0.000 0.500
Tc1 0.000 0.500 0.750
O1 0.140 0.304 0.631

(2)
# TlSn3W PBE relaxed
# theoretical density: 8.20 Mg/m³
# relative energy among the computed polymorphs: 0 meV/atom
# magnetization: 0.000 μB/f.u.
# formation energy: 0.360 eV/atom
data_TlSn3W
_chemical_formula_sum 'Tl1 Sn3 W1'
_space_group_name_H-M_alt 'P m -3 m'
_space_group_IT_number 221
_space_group_name_Hall '-P 4 2 3'
_cell_length_a 5.321
_cell_length_b 5.321
_cell_length_c 5.321
_cell_angle_alpha 90.00
_cell_angle_beta 90.00
_cell_angle_gamma 90.00
loop_
_atom_site_label
_atom_site_fract_x
_atom_site_fract_y
_atom_site_fract_z
Tl1 0.000 0.000 0.000
Sn1 0.000 0.500 0.500
W1 0.500 0.500 0.500

(3)
# AcPr3DyTm PBE relaxed
# theoretical density: 7.59 Mg/m³
# magnetization: 0.000 μB/f.u.
# formation energy: 0.042 eV/atom
data_AcPr3DyTm
_chemical_formula_sum 'Ac2 Pr6 Dy2 Tm2'
_space_group_name_H-M_alt 'P 1 21/m 1'
_space_group_IT_number 11
_cell_length_a 8.230
_cell_length_b 5.253
_cell_length_c 10.487
_cell_angle_alpha 90.00
_cell_angle_beta 108.76
_cell_angle_gamma 90.00
loop_
_space_group_symop_operation_xyz
'x,y,z'
'-x,-y,-z'
'-x,y+1/2,-z'
'x,-y+1/2,z'
loop_
_atom_site_label
_atom_site_fract_x
_atom_site_fract_y
_atom_site_fract_z
Ac1 0.174 0.250 0.294
Pr1 0.174 0.750 0.040
Pr2 0.174 0.750 0.547
Pr3 0.175 0.250 0.793
Dy1 0.497 0.750 0.877
Tm1 0.498 0.250 0.628

(4)
# CdPH PBE relaxed
# theoretical density: 4.30 Mg/m³
# relative energy among the computed polymorphs: 104 meV/atom
# magnetization: 0.000 μB/f.u.
data_CdPH
_chemical_formula_sum 'Cd4 P4 H4'
_space_group_name_H-M_alt 'P n m a'
_space_group_IT_number 62
_cell_length_a 7.200
_cell_length_b 7.164
_cell_length_c 4.320
_cell_angle_alpha 90.00
_cell_angle_beta 90.00
_cell_angle_gamma 90.00
loop_
_space_group_symop_operation_xyz
'x,y,z'
'-x,-y,-z'
'-x+1/2,-y,z+1/2'
'x+1/2,y,-z+1/2'
'x+1/2,-y+1/2,-z+1/2'
'-x+1/2,y+1/2,z+1/2'
'-x,y+1/2,-z'
'x,-y+1/2,z'
loop_
_atom_site_label
_atom_site_fract_x
_atom_site_fract_y
_atom_site_fract_z
Cd1 0.000 0.000 0.000
P1 0.088 0.250 0.383
H1 0.100 0.750 0.503

(5)
# Ti2NbAl5Pd2 PBE relaxed
# theoretical density: 5.48 Mg/m³
# magnetization: 0.000 μB/f.u.
# formation energy: -0.484 eV/atom
data_Ti2NbAl5Pd2
_chemical_formula_sum 'Ti4 Nb2 Al10 Pd4'
_space_group_name_H-M_alt 'P 4/m b m'
_space_group_IT_number 127
_space_group_name_Hall '-P 4 2ab'
_cell_length_a 8.940
_cell_length_b 8.940
_cell_length_c 4.066
_cell_angle_alpha 90.00
_cell_angle_beta 90.00
_cell_angle_gamma 90.00
loop_
_atom_site_label
_atom_site_fract_x
_atom_site_fract_y
_atom_site_fract_z
Ti1 0.177 0.323 0.000
Nb1 0.000 0.000 0.000
Al1 0.000 0.500 0.500
Al2 0.066 0.796 0.500
Pd1 0.122 0.622 0.000

(6)
# TlW2Au PBE relaxed
# theoretical density: 17.71 Mg/m³
# relative energy among the computed polymorphs: 377 meV/atom
# magnetization: 0.000 μB/f.u.
# formation energy: 0.886 eV/atom
data_TlW2Au
_chemical_formula_sum 'Tl1 W2 Au1'
_space_group_name_H-M_alt 'P 4/m m m'
_space_group_IT_number 123
_space_group_name_Hall '-P 4 2'
_cell_length_a 2.852
_cell_length_b 2.852
_cell_length_c 8.866
_cell_angle_alpha 90.00
_cell_angle_beta 90.00
_cell_angle_gamma 90.00
loop_
_atom_site_label
_atom_site_fract_x
_atom_site_fract_y
_atom_site_fract_z
Tl1 0.000 0.000 0.000
W1 0.500 0.500 0.265
Au1 0.000 0.000 0.500